[1]
Density functional theory data (GGA-PBE) for crystalline NaFeSeN2 at its relaxed geometry.

a b c (Å): 3.662 3.662 5.250
angles (deg): 90.00 90.00 90.00
Sites, in units of the cell vectors:
Na 0.500 0.500 0.500
Fe 0.000 0.000 0.000
Se 0.000 0.000 0.500
N 0.000 0.500 0.000
N 0.500 0.000 0.000

* E_form (uncorrected): 0.549 eV/atom
* offset from the most stable computed form: 0.00 kcal/mol of atoms
* DFT total energy: -27.17 eV per formula unit

=====

[2]
Density functional theory data (GGA-PBE) for crystalline NaFeSe2N at its relaxed geometry.

a b c (Å): 5.176 5.176 4.209
angles (deg): 90.00 90.00 90.00
Site moments in Bohr magnetons follow the coordinates.
Sites, in units of the cell vectors:
Na 0.000 0.000 0.000  0.03
Fe 0.500 0.500 0.500  3.47
Se 0.000 0.500 0.000  0.32
Se 0.500 0.000 0.000  0.32
N 0.000 0.000 0.500  1.68

* E_form (uncorrected): 1.543 eV/atom
* offset from the most stable computed form: 36.26 kcal/mol of atoms
* DFT total energy: -17.36 eV per formula unit

=====

[3]
Density functional theory data (GGA-PBE) for crystalline NaFeSe2N at its relaxed geometry.

a b c (Å): 5.128 5.128 3.399
angles (deg): 90.00 90.00 90.00
Site moments in Bohr magnetons follow the coordinates.
Sites, in units of the cell vectors:
Na 0.500 0.500 0.500  0.00
Fe 0.000 0.000 0.000  0.94
Se 0.000 0.500 0.000  0.03
Se 0.500 0.000 0.000  0.03
N 0.000 0.000 0.500  -0.11

* E_form (uncorrected): -0.029 eV/atom
* offset from the most stable computed form: 0.00 kcal/mol of atoms
* DFT total energy: -25.22 eV per formula unit

=====

[4]
Density functional theory data (GGA-PBE) for crystalline NaFeSeN2 at its relaxed geometry.

a b c (Å): 3.938 3.938 5.653
angles (deg): 90.00 90.00 90.00
Site moments in Bohr magnetons follow the coordinates.
Sites, in units of the cell vectors:
Na 0.000 0.000 0.000  -0.01
Fe 0.500 0.500 0.500  0.14
Se 0.000 0.000 0.500  -0.04
N 0.000 0.500 0.000  0.03
N 0.500 0.000 0.000  0.03

* E_form (uncorrected): 2.742 eV/atom
* offset from the most stable computed form: 50.56 kcal/mol of atoms
* DFT total energy: -16.21 eV per formula unit

=====

[5]
Density functional theory data (GGA-PBE) for crystalline NaTaFeN3 at its relaxed geometry.

a b c (Å): 3.141 6.607 8.915
angles (deg): 112.42 90.00 90.00
Site moments in Bohr magnetons follow the coordinates.
Sites, in units of the cell vectors:
Na 0.250 0.207 0.176  0.00
Na 0.750 0.793 0.824  0.00
Ta 0.250 0.683 0.131  0.01
Ta 0.750 0.317 0.869  0.01
Fe 0.250 0.033 0.605  0.59
Fe 0.750 0.967 0.395  0.59
N 0.750 0.904 0.167  0.02
N 0.250 0.096 0.833  0.02
N 0.250 0.820 0.400  -0.04
N 0.750 0.180 0.600  -0.04
N 0.750 0.448 0.112  0.01
N 0.250 0.552 0.888  0.01

* E_form (uncorrected): -0.500 eV/atom
* DFT total energy: -49.61 eV per formula unit

=====

[6]
Density functional theory data (GGA-PBE) for crystalline Na3U3FeN8 at its relaxed geometry.

a b c (Å): 6.561 6.940 6.747
angles (deg): 118.84 89.99 118.20
Site moments in Bohr magnetons follow the coordinates.
Sites, in units of the cell vectors:
Na 0.000 0.000 0.000  0.00
Na 0.000 0.500 0.000  0.00
Na 0.500 0.500 0.000  0.00
U 0.500 0.000 0.500  -0.11
U 0.500 0.500 0.500  0.01
U 0.000 0.500 0.500  0.01
Fe 0.000 0.000 0.500  -2.69
N 0.274 0.547 0.309  0.00
N 0.726 0.453 0.691  0.00
N 0.735 0.470 0.295  -0.04
N 0.265 0.530 0.705  -0.04
N 0.794 0.061 0.343  -0.01
N 0.206 0.939 0.657  -0.01
N 0.268 0.061 0.343  -0.01
N 0.732 0.939 0.657  -0.01

* E_form (uncorrected): -0.733 eV/atom
* DFT total energy: -123.88 eV per formula unit

=====

[7]
Density functional theory data (GGA-PBE) for crystalline NaFeW2N at its relaxed geometry.

a b c (Å): 4.363 4.906 4.363
angles (deg): 90.00 90.00 90.00
Sites, in units of the cell vectors:
Na 0.000 0.500 0.000
Fe 0.000 0.000 0.000
W 0.000 0.000 0.500
W 0.500 0.000 0.000
N 0.500 0.500 0.500

* E_form (uncorrected): 2.422 eV/atom
* DFT total energy: -31.90 eV per formula unit

=====

[8]
Density functional theory data (GGA-PBE) for crystalline Nb8Fe2N at its relaxed geometry.

a b c (Å): 4.466 5.623 7.641
angles (deg): 106.04 106.99 90.00
Sites, in units of the cell vectors:
Nb 0.408 0.565 0.817
Nb 0.633 0.962 0.266
Nb 0.789 0.726 0.578
Nb 0.988 0.239 0.976
Nb 0.211 0.274 0.422
Nb 0.367 0.038 0.734
Nb 0.592 0.435 0.183
Nb 0.012 0.761 0.024
Fe 0.820 0.332 0.640
Fe 0.180 0.668 0.360
N 0.500 0.000 0.000

* E_form (uncorrected): 0.011 eV/atom
* DFT total energy: -105.69 eV per formula unit

=====

[9]
Density functional theory data (GGA-PBE) for crystalline Nb3FeN at its relaxed geometry.

a b c (Å): 4.204 4.204 4.204
angles (deg): 90.00 90.00 90.00
Sites, in units of the cell vectors:
Nb 0.000 0.500 0.000
Nb 0.000 0.000 0.500
Nb 0.500 0.000 0.000
Fe 0.500 0.500 0.500
N 0.000 0.000 0.000

* E_form (uncorrected): -0.240 eV/atom
* DFT total energy: -48.20 eV per formula unit

=====

[10]
Density functional theory data (GGA-PBE) for crystalline NbFeN2 at its relaxed geometry.

a b c (Å): 3.772 3.772 3.772
angles (deg): 60.00 60.00 60.00
Site moments in Bohr magnetons follow the coordinates.
Sites, in units of the cell vectors:
Nb 0.500 0.500 0.500  -0.02
Fe 0.000 0.000 0.000  2.64
N 0.250 0.250 0.250  0.13
N 0.750 0.750 0.750  0.13

* E_form (uncorrected): 0.022 eV/atom
* DFT total energy: -35.09 eV per formula unit

=====

[11]
Density functional theory data (GGA-PBE) for crystalline Nb2FeN2 at its relaxed geometry.

a b c (Å): 6.438 6.438 2.802
angles (deg): 90.00 90.00 90.00
Site moments in Bohr magnetons follow the coordinates.
Sites, in units of the cell vectors:
Nb 0.347 0.847 0.000  -0.15
Nb 0.847 0.653 0.000  -0.15
Nb 0.653 0.153 0.000  -0.15
Nb 0.153 0.347 0.000  -0.15
Fe 0.000 0.000 0.000  1.85
Fe 0.500 0.500 0.000  1.85
N 0.137 0.637 0.500  0.06
N 0.637 0.863 0.500  0.05
N 0.863 0.363 0.500  0.06
N 0.363 0.137 0.500  0.05

* E_form (uncorrected): 0.191 eV/atom
* offset from the most stable computed form: 7.87 kcal/mol of atoms
* DFT total energy: -44.30 eV per formula unit

=====

[12]
Density functional theory data (GGA-PBE) for crystalline Nb2FeN2 at its relaxed geometry.

a b c (Å): 3.747 3.747 5.444
angles (deg): 69.87 69.87 90.00
Site moments in Bohr magnetons follow the coordinates.
Sites, in units of the cell vectors:
Nb 0.348 0.348 0.303  -0.19
Nb 0.652 0.652 0.697  -0.19
Fe 0.000 0.000 0.000  2.71
N 0.750 0.250 0.500  0.04
N 0.250 0.750 0.500  0.04

* E_form (uncorrected): -0.150 eV/atom
* offset from the most stable computed form: 0.00 kcal/mol of atoms
* DFT total energy: -46.01 eV per formula unit

=====

[13]
Density functional theory data (GGA-PBE) for crystalline NbFe3N at its relaxed geometry.

a b c (Å): 4.545 4.545 4.545
angles (deg): 90.00 90.00 90.00
Site moments in Bohr magnetons follow the coordinates.
Sites, in units of the cell vectors:
Nb 0.000 0.000 0.000  -1.00
Fe 0.000 0.500 0.000  2.19
Fe 0.000 0.000 0.500  2.30
Fe 0.500 0.000 0.000  1.92
N 0.500 0.500 0.500  0.85

* E_form (uncorrected): 2.569 eV/atom
* offset from the most stable computed form: 61.08 kcal/mol of atoms
* DFT total energy: -30.94 eV per formula unit

=====

[14]
Density functional theory data (GGA-PBE) for crystalline Nb4Fe2N at its relaxed geometry.

a b c (Å): 8.289 8.289 8.289
angles (deg): 60.00 60.00 60.00
Site moments in Bohr magnetons follow the coordinates.
Sites, in units of the cell vectors:
Nb 0.125 0.625 0.625  -0.22
Nb 0.625 0.125 0.625  -0.22
Nb 0.625 0.625 0.125  -0.22
Nb 0.625 0.625 0.625  -0.22
Nb 0.815 0.815 0.185  0.10
Nb 0.185 0.185 0.815  0.10
Nb 0.815 0.185 0.815  0.10
Nb 0.185 0.815 0.185  0.10
Nb 0.185 0.815 0.815  0.10
Nb 0.815 0.185 0.185  0.10
Nb 0.435 0.435 0.065  0.10
Nb 0.065 0.065 0.435  0.10
Nb 0.435 0.065 0.435  0.10
Nb 0.065 0.435 0.065  0.10
Nb 0.065 0.435 0.435  0.10
Nb 0.435 0.065 0.065  0.10
Fe 0.743 0.419 0.419  1.95
Fe 0.419 0.743 0.419  1.95
Fe 0.419 0.419 0.743  1.95
Fe 0.419 0.419 0.419  1.95
Fe 0.507 0.831 0.831  1.95
Fe 0.831 0.507 0.831  1.95
Fe 0.831 0.831 0.507  1.95
Fe 0.831 0.831 0.831  1.95
N 0.625 0.125 0.125  -0.01
N 0.125 0.625 0.125  -0.01
N 0.125 0.125 0.625  -0.01
N 0.125 0.125 0.125  -0.01

* E_form (uncorrected): -0.448 eV/atom
* DFT total energy: -68.66 eV per formula unit

=====

[15]
Density functional theory data (GGA-PBE) for crystalline NbFeN2 at its relaxed geometry.

a b c (Å): 4.477 4.477 5.601
angles (deg): 66.44 66.44 90.00
Sites, in units of the cell vectors:
Nb 0.000 0.000 0.000
Nb 0.750 0.250 0.500
Fe 0.500 0.500 0.000
Fe 0.250 0.750 0.500
N 0.595 0.125 0.250
N 0.155 0.625 0.250
N 0.375 0.405 0.750
N 0.875 0.845 0.750

* E_form (uncorrected): -0.370 eV/atom
* DFT total energy: -36.67 eV per formula unit

=====

[16]
Density functional theory data (GGA-PBE) for crystalline NbFe2N at its relaxed geometry.

a b c (Å): 5.201 5.201 5.343
angles (deg): 60.88 60.88 90.00
Sites, in units of the cell vectors:
Nb 0.000 0.000 0.000
Nb 0.750 0.250 0.500
Fe 0.509 0.125 0.250
Fe 0.241 0.625 0.250
Fe 0.375 0.491 0.750
Fe 0.875 0.759 0.750
N 0.500 0.500 0.000
N 0.250 0.750 0.500

* E_form (uncorrected): 0.197 eV/atom
* DFT total energy: -34.53 eV per formula unit

=====

[17]
Density functional theory data (GGA-PBE) for crystalline NbFe3N at its relaxed geometry.

a b c (Å): 3.809 3.809 3.809
angles (deg): 90.00 90.00 90.00
Site moments in Bohr magnetons follow the coordinates.
Sites, in units of the cell vectors:
Nb 0.500 0.500 0.500  -0.52
Fe 0.000 0.500 0.000  0.99
Fe 0.000 0.000 0.500  1.00
Fe 0.500 0.000 0.000  1.14
N 0.000 0.000 0.000  0.08

* E_form (uncorrected): -0.079 eV/atom
* offset from the most stable computed form: 0.00 kcal/mol of atoms
* DFT total energy: -44.18 eV per formula unit

=====

[18]
Density functional theory data (GGA-PBE) for crystalline Nb3FeN at its relaxed geometry.

a b c (Å): 4.537 4.537 4.537
angles (deg): 90.00 90.00 90.00
Sites, in units of the cell vectors:
Nb 0.000 0.500 0.000
Nb 0.000 0.000 0.500
Nb 0.500 0.000 0.000
Fe 0.000 0.000 0.000
N 0.500 0.500 0.500

* E_form (uncorrected): 1.623 eV/atom
* DFT total energy: -38.88 eV per formula unit

=====

[19]
Density functional theory data (GGA-PBE) for crystalline NbFeN2 at its relaxed geometry.

a b c (Å): 6.227 6.227 6.227
angles (deg): 29.14 29.14 29.14
Site moments in Bohr magnetons follow the coordinates.
Sites, in units of the cell vectors:
Nb 0.500 0.500 0.500  -0.06
Fe 0.000 0.000 0.000  2.96
N 0.896 0.896 0.896  0.04
N 0.104 0.104 0.104  0.04

* E_form (uncorrected): -0.311 eV/atom
* DFT total energy: -36.43 eV per formula unit

=====

[20]
Density functional theory data (GGA-PBE) for crystalline Nb3Fe3N at its relaxed geometry.

a b c (Å): 7.988 7.988 7.988
angles (deg): 60.00 60.00 60.00
Site moments in Bohr magnetons follow the coordinates.
Sites, in units of the cell vectors:
Nb 0.801 0.801 0.199  -0.01
Nb 0.199 0.199 0.801  -0.01
Nb 0.801 0.199 0.801  -0.01
Nb 0.199 0.801 0.199  -0.01
Nb 0.199 0.801 0.801  -0.01
Nb 0.801 0.199 0.199  -0.01
Nb 0.449 0.449 0.051  -0.01
Nb 0.051 0.051 0.449  -0.01
Nb 0.449 0.051 0.449  -0.01
Nb 0.051 0.449 0.051  -0.01
Nb 0.051 0.449 0.449  -0.01
Nb 0.449 0.051 0.051  -0.01
Fe 0.125 0.625 0.625  0.31
Fe 0.625 0.125 0.625  0.31
Fe 0.625 0.625 0.125  0.31
Fe 0.625 0.625 0.625  0.31
Fe 0.726 0.425 0.425  -0.05
Fe 0.425 0.726 0.425  -0.05
Fe 0.425 0.425 0.726  -0.05
Fe 0.425 0.425 0.425  -0.05
Fe 0.524 0.825 0.825  -0.05
Fe 0.825 0.524 0.825  -0.05
Fe 0.825 0.825 0.524  -0.05
Fe 0.825 0.825 0.825  -0.05
N 0.625 0.125 0.125  0.00
N 0.125 0.625 0.125  0.00
N 0.125 0.125 0.625  0.00
N 0.125 0.125 0.125  0.00

* E_form (uncorrected): -0.449 eV/atom
* DFT total energy: -67.07 eV per formula unit